12
Lattice="-4.134 0.869 0.305 -3.285 -3.458 -5.270 -2.811 -4.128 3.073" Properties=species:S:1:pos:R:3 comment="Co7CuGe4 | Alexandria | PBE | relaxed" ef_ev_per_atom=0.1915 space_group="No. 12" pbc="T T T"
Co -7.671 -4.584 -2.699
Co -4.874 -2.101 -1.268
Co -2.067 0.435 0.152
Co -3.012 -2.978 -2.937
Co -2.558 -2.132 0.808
Co -7.217 -3.739 1.045
Co -5.355 -4.615 -0.624
Ge -7.681 -5.386 -0.547
Ge -2.548 -1.330 -1.345
Ge -4.861 -2.819 0.959
Ge -5.368 -3.898 -2.851
Cu 0.000 0.000 0.000

---

4
Lattice="2.897 0.000 0.000 1.449 2.509 0.000 1.449 0.836 8.281" Properties=species:S:1:pos:R:3 comment="CoCuGe2 | Alexandria | PBE | relaxed" ef_ev_per_atom=0.0920 de_polymorph_ev_per_atom=0.061 space_group="No. 166" pbc="T T T"
Ge 1.449 0.836 5.913
Ge 4.346 2.509 2.368
Co 2.897 1.673 4.140
Cu 0.000 0.000 0.000

---

10
Lattice="3.873 0.000 0.000 0.000 5.013 0.000 0.000 0.000 6.689" Properties=species:S:1:pos:R:3 comment="Co2CuGe2 | Alexandria | PBE | relaxed" ef_ev_per_atom=-0.1819 de_polymorph_ev_per_atom=0.000 space_group="No. 51" pbc="T T T"
Ge 0.000 3.760 2.532
Ge 1.936 1.253 1.313
Ge 1.936 3.760 5.376
Ge 0.000 1.253 4.158
Co 1.936 3.760 1.068
Co 1.936 0.000 3.345
Co 1.936 2.507 3.345
Co 1.936 1.253 5.621
Cu 0.000 0.000 0.000
Cu 0.000 2.507 0.000

---

10
Lattice="-5.815 3.434 0.816 -2.787 -5.433 2.998 0.873 0.898 2.440" Properties=species:S:1:pos:R:3 comment="Co2CuGe2 | Alexandria | PBE | relaxed" ef_ev_per_atom=-0.0766 de_polymorph_ev_per_atom=0.105 space_group="No. 127" pbc="T T T"
Ge -5.744 -1.844 4.276
Ge -5.392 1.487 2.923
Ge -1.985 0.744 1.978
Ge -2.337 -2.588 3.331
Co -6.791 -0.507 2.616
Co -1.812 -1.492 1.198
Co -4.095 1.441 0.935
Co -4.507 -3.440 2.879
Cu -4.301 -0.999 1.907
Cu 0.000 0.000 0.000

---

5
Lattice="4.307 0.000 0.000 0.000 4.307 0.000 0.000 0.000 4.307" Properties=species:S:1:pos:R:3 comment="Co3CuGe | Alexandria | PBE | relaxed" ef_ev_per_atom=1.1876 de_polymorph_ev_per_atom=0.191 space_group="No. 221" pbc="T T T"
Co 2.153 0.000 0.000
Co 0.000 0.000 2.153
Co 0.000 2.153 0.000
Cu 0.000 0.000 0.000
Ge 2.153 2.153 2.153

---

4
Lattice="-3.059 1.158 2.022 -0.874 -3.382 0.614 1.963 0.029 2.954" Properties=species:S:1:pos:R:3 comment="CoCu2Ge | Alexandria | PBE | relaxed" ef_ev_per_atom=-0.0101 de_polymorph_ev_per_atom=0.000 space_group="No. 123" pbc="T T T"
Cu 0.982 0.015 1.477
Cu -0.437 -1.691 0.307
Co -1.530 0.579 1.011
Ge -0.985 -1.098 2.795

---

5
Lattice="-1.769 -2.293 -3.346 -3.101 -1.589 2.729 -2.616 3.435 -0.971" Properties=species:S:1:pos:R:3 comment="CoCu3Ge | Alexandria | PBE | relaxed" ef_ev_per_atom=0.9508 de_polymorph_ev_per_atom=0.000 space_group="No. 221" pbc="T T T"
Cu -1.550 -0.795 1.364
Cu -0.885 -1.147 -1.673
Cu -1.308 1.718 -0.486
Co -3.743 -0.224 -0.794
Ge 0.000 0.000 0.000

---

8
Lattice="6.828 0.000 0.000 0.000 6.828 0.000 3.414 3.414 2.622" Properties=species:S:1:pos:R:3 comment="CoCuGe2 | Alexandria | PBE | relaxed" ef_ev_per_atom=0.3595 de_polymorph_ev_per_atom=0.329 space_group="No. 122" pbc="T T T"
Ge 1.914 5.121 0.655
Ge 8.535 8.328 1.966
Ge 5.121 5.328 1.966
Ge 4.914 1.707 0.655
Co 3.414 3.414 0.000
Co 3.414 6.828 1.311
Cu 0.000 0.000 0.000
Cu 6.828 3.414 1.311

---

4
Lattice="3.870 0.000 0.000 1.935 3.352 0.000 1.935 1.117 4.540" Properties=species:S:1:pos:R:3 comment="CoCuGe2 | Alexandria | PBE | relaxed" ef_ev_per_atom=0.0310 de_polymorph_ev_per_atom=0.000 space_group="No. 160" pbc="T T T"
Ge 1.935 1.117 3.626
Ge 1.935 1.117 0.910
Co 5.805 3.352 4.402
Cu 3.870 2.235 2.413

---

5
Lattice="-3.010 -0.023 -2.280 -2.153 -1.213 2.855 -3.583 4.157 1.562" Properties=species:S:1:pos:R:3 comment="Co2CuGe2 | Alexandria | PBE | relaxed" ef_ev_per_atom=0.1259 de_polymorph_ev_per_atom=0.308 space_group="No. 139" pbc="T T T"
Co -4.588 1.758 -0.215
Co -4.159 1.163 2.353
Ge -2.820 0.519 0.591
Ge -5.926 2.402 1.546
Cu 0.000 0.000 0.000

---

18
Lattice="-4.919 0.770 0.640 -0.327 -5.586 4.201 1.338 6.321 2.683" Properties=species:S:1:pos:R:3 comment="Co5CuGe3 | Alexandria | PBE | relaxed" ef_ev_per_atom=-0.1162 space_group="No. 193" pbc="T T T"
Co 0.783 2.352 3.189
Co -3.603 -3.056 5.509
Co -2.232 -1.232 4.015
Co -1.456 -3.668 3.063
Co -0.305 4.561 2.015
Co -1.677 2.737 3.509
Co 0.228 -1.617 3.695
Co -2.991 1.086 5.238
Co -0.918 0.419 2.286
Co -3.790 -1.148 1.777
Ge -1.348 -1.822 1.675
Ge -3.325 0.843 2.963
Ge -0.583 0.663 4.561
Ge -3.899 -2.994 3.166
Ge -0.747 2.472 1.128
Ge -3.161 -0.967 6.396
Cu 0.000 0.000 0.000
Cu -2.460 0.385 0.320

---

4
Lattice="-4.219 0.542 -0.077 -1.968 0.860 -3.673 -2.489 -2.933 -1.818" Properties=species:S:1:pos:R:3 comment="CoCuGe2 | Alexandria | PBE | relaxed" ef_ev_per_atom=0.1637 de_polymorph_ev_per_atom=0.133 space_group="No. 225" pbc="T T T"
Ge -2.169 -0.383 -1.392
Ge -6.507 -1.149 -4.176
Co 0.000 0.000 0.000
Cu -4.338 -0.766 -2.784

---

5
Lattice="3.698 0.000 0.000 0.000 3.698 0.000 0.000 0.000 3.738" Properties=species:S:1:pos:R:3 comment="CoCu2GeH | Alexandria | PBE | relaxed" total_energy_ev_per_cell=-22.9 space_group="No. 123" pbc="T T T"
Cu 1.849 0.000 0.000
Cu 0.000 1.849 0.000
Co 0.000 0.000 1.869
Ge 1.849 1.849 1.869
H 0.000 0.000 0.000

---

4
Lattice="-0.522 2.904 2.939 1.201 -0.759 3.915 3.305 1.977 1.585" Properties=species:S:1:pos:R:3 comment="CoCuGeIr | Alexandria | PBE | relaxed" ef_ev_per_atom=-0.0695 space_group="No. 216" pbc="T T T"
Ir 2.988 3.091 6.329
Co 0.996 1.030 2.110
Ge 0.000 0.000 0.000
Cu 1.992 2.061 4.219

---

5
Lattice="-3.875 1.977 -1.865 -0.112 -3.433 -3.408 -2.716 -2.686 2.795" Properties=species:S:1:pos:R:3 comment="KCoCuGe2 | Alexandria | PBE | relaxed" ef_ev_per_atom=0.6177 space_group="No. 123" pbc="T T T"
Ge -1.938 0.989 -0.932
Ge -1.358 -1.343 1.398
Cu 0.000 0.000 0.000
K -3.351 -2.071 -1.239
Co -0.056 -1.717 -1.704

---

10
Lattice="4.266 0.000 0.000 0.000 4.266 0.000 0.000 0.000 9.990" Properties=species:S:1:pos:R:3 comment="La2CoCu3Ge4 | Alexandria | PBE | relaxed" ef_ev_per_atom=-0.5165 space_group="No. 115" pbc="T T T"
Cu 2.133 0.000 8.682
Cu 0.000 2.133 1.308
Cu 0.000 0.000 4.995
Ge 0.000 2.133 3.784
Ge 0.000 0.000 0.000
Ge 2.133 2.133 0.000
Ge 2.133 0.000 6.206
La 0.000 2.133 7.426
La 2.133 0.000 2.564
Co 2.133 2.133 4.995

---

10
Lattice="4.171 0.000 0.000 0.000 4.171 0.000 0.000 0.000 10.118" Properties=species:S:1:pos:R:3 comment="Nd2CoCu3Ge4 | Alexandria | PBE | relaxed" ef_ev_per_atom=-0.4936 space_group="No. 115" pbc="T T T"
Ge 2.085 2.085 0.000
Ge 2.085 0.000 6.310
Ge 0.000 0.000 0.000
Ge 0.000 2.085 3.808
Cu 0.000 0.000 5.059
Cu 0.000 2.085 1.365
Cu 2.085 0.000 8.753
Co 2.085 2.085 5.059
Nd 0.000 2.085 7.519
Nd 2.085 0.000 2.599

---

5
Lattice="-1.965 0.709 -3.576 0.717 -3.908 -1.169 -3.741 0.166 4.487" Properties=species:S:1:pos:R:3 comment="NdCoCuGe2 | Alexandria | PBE | relaxed" ef_ev_per_atom=-0.5120 space_group="No. 119" pbc="T T T"
Cu -3.165 -0.362 -0.731
Ge -1.747 -1.968 -1.829
Ge -3.243 -1.065 1.571
Co -1.824 -2.671 0.473
Nd 0.000 0.000 0.000

---

4
Lattice="4.041 0.000 0.000 2.021 3.500 0.000 2.021 1.167 3.300" Properties=species:S:1:pos:R:3 comment="CoCuNiGe | Alexandria | PBE | relaxed" ef_ev_per_atom=-0.1198 space_group="No. 216" pbc="T T T"
Ni 4.041 2.333 1.650
Ge 2.021 1.167 0.825
Co 0.000 0.000 0.000
Cu 6.062 3.500 2.475

---

5
Lattice="-2.099 -2.288 2.609 -0.064 -3.023 -2.703 5.392 0.866 1.946" Properties=species:S:1:pos:R:3 comment="NpCoCuGe2 | Alexandria | PBE | relaxed" ef_ev_per_atom=-0.1819 space_group="No. 119" pbc="T T T"
Ge 3.244 -1.346 1.429
Ge -0.015 -3.098 0.423
Cu 2.123 -2.406 -0.402
Np 0.000 0.000 0.000
Co 1.105 -2.038 2.254

---

Number 1: spin magnetization 1.8 μB per formula unit. Number 2: spin magnetization 0.5 μB per formula unit. Number 3: spin magnetization 0.7 μB per formula unit. Number 4: spin magnetization 0.0 μB per formula unit. Number 5: spin magnetization 5.3 μB per formula unit. Number 6: spin magnetization 0.0 μB per formula unit. Number 7: spin magnetization 2.1 μB per formula unit. Number 8: spin magnetization 0.0 μB per formula unit. Number 9: spin magnetization 0.0 μB per formula unit. Number 10: spin magnetization 0.0 μB per formula unit. Number 11: spin magnetization 2.3 μB per formula unit. Number 12: spin magnetization 0.0 μB per formula unit. Number 13: spin magnetization 0.0 μB per formula unit. Number 14: spin magnetization 0.0 μB per formula unit. Number 15: spin magnetization 1.7 μB per formula unit. Number 16: spin magnetization 0.8 μB per formula unit. Number 17: spin magnetization 0.6 μB per formula unit. Number 18: spin magnetization 0.7 μB per formula unit. Number 19: spin magnetization 0.6 μB per formula unit. Number 20: spin magnetization 2.9 μB per formula unit.